Here is an optimized crystal structure of AcCeSiAg from Alexandria. Energies are from PBE.

a b c (Å): 5.364 5.364 5.364
angles (deg): 60.00 60.00 60.00
Positions (direct):
Ag  0.750  0.750  0.750
Ce  0.500  0.500  0.500
Si  0.250  0.250  0.250
Ac  0.000  0.000  0.000

Computed properties:
DFT total energy: -4.841 eV per atom
Raw formation energy: -0.26 eV/atom
Space group: No. 216